# PBE BaSrLa2Ni, relaxed
data_BaSrLa2Ni
_space_group_name_H-M_alt 'P 1'
_space_group_IT_number 1
_space_group_name_Hall 'P 1'
_cell_length_a 5.610
_cell_length_b 6.479
_cell_length_c 5.610
_cell_angle_alpha 90.00
_cell_angle_beta 90.00
_cell_angle_gamma 90.00
loop_
_atom_site_label
_atom_site_type_symbol
_atom_site_fract_x
_atom_site_fract_y
_atom_site_fract_z
_atom_site_occupancy
Ni1 Ni 0.000 0.000 0.000 1
Sr1 Sr 0.500 0.500 0.500 1
La1 La 0.500 0.000 0.000 1
Ba1 Ba 0.000 0.500 0.000 1
La2 La 0.000 0.000 0.500 1
# Total magnetization ... 0.00 μB per formula unit
# ρ ... 4.57 g/cm³
# ΔH_f (0 K) ... 8 kJ/mol of formula units
# Energy relative to the lowest polymorph listed for this composition ... 40 meV/atom
# Crystal system ... tetragonal